Entry from the Open Quantum Materials Database: an optimized crystal structure of BeCoAgW (PBE).

Results
The total magnetization comes out at 0.00 μB per atom. The value obtained for the energy above the most stable polymorph in this dataset is 0.835 eV per formula unit.

CIF file:
```
data_BeCoAgW
_symmetry_space_group_name_H-M 'P 1'
_symmetry_Int_Tables_number 1
_cell_length_a 4.2291
_cell_length_b 4.2291
_cell_length_c 4.2291
_cell_angle_alpha 60.00
_cell_angle_beta 60.00
_cell_angle_gamma 60.00
loop_
_symmetry_equiv_pos_as_xyz
'x,y,z'
loop_
_atom_site_label
_atom_site_type_symbol
_atom_site_fract_x
_atom_site_fract_y
_atom_site_fract_z
Ag1 Ag 0.5000 0.5000 0.5000
W1 W 0.2500 0.2500 0.2500
Be1 Be 0.7500 0.7500 0.7500
Co1 Co 0.0000 0.0000 0.0000
```

***

Entry from the Open Quantum Materials Database: an optimized crystal structure of LuTlNiS3 (PBE).

Results
The total magnetization comes out at 0.02 μB per atom. The value obtained for the energy above the most stable polymorph in this dataset is 0.467 eV per formula unit.

CIF file:
```
data_LuTlNiS3
_symmetry_space_group_name_H-M 'P 1'
_symmetry_Int_Tables_number 1
_cell_length_a 11.0531
_cell_length_b 4.0058
_cell_length_c 11.5090
_cell_angle_alpha 90.00
_cell_angle_beta 90.00
_cell_angle_gamma 90.00
loop_
_symmetry_equiv_pos_as_xyz
'x,y,z'
loop_
_atom_site_label
_atom_site_type_symbol
_atom_site_fract_x
_atom_site_fract_y
_atom_site_fract_z
Tl1 Tl 0.6725 0.0000 0.4856
S1 S 0.3967 0.5000 0.9447
Lu1 Lu 0.5111 0.0000 0.8303
S2 S 0.7645 0.0000 0.7657
S3 S 0.2355 0.5000 0.2343
S4 S 0.4589 0.0000 0.3202
S5 S 0.8967 0.5000 0.5553
Lu2 Lu 0.9889 0.5000 0.3303
S6 S 0.9589 0.0000 0.1798
Ni1 Ni 0.7408 0.5000 0.6838
Ni2 Ni 0.2592 0.0000 0.3162
Lu3 Lu 0.4889 0.5000 0.1697
S7 S 0.6033 0.0000 0.0553
Ni3 Ni 0.2408 0.5000 0.8162
Lu4 Lu 0.0111 0.0000 0.6697
Tl2 Tl 0.8275 0.5000 0.9856
S8 S 0.5411 0.5000 0.6798
Tl3 Tl 0.3275 0.5000 0.5144
S9 S 0.2645 0.0000 0.7343
S10 S 0.1033 0.0000 0.4447
Tl4 Tl 0.1725 0.0000 0.0144
S11 S 0.7355 0.5000 0.2657
S12 S 0.0411 0.5000 0.8202
Ni4 Ni 0.7592 0.0000 0.1838
```

***

Computed DFT total energy (eV for the cell shown) in order:
-24.42; -122.48